1.
KNiAs2Ir | PBE | optimized geometry

Properties
Calculated formation energy ... -382 meV/atom
Crystal system ... tetragonal

POSCAR file:
```
KNiAs2Ir
1.0
-2.013 2.013 6.629
2.013 -2.013 6.629
2.013 2.013 -6.629
K Ni As Ir
1 1 2 1
direct
0.000 0.000 0.000
0.250 0.750 0.500
0.351 0.351 0.000
0.649 0.649 0.000
0.750 0.250 0.500
```

2.
Rb2LiIrPd | PBE | optimized geometry

Properties
Calculated formation energy ... 765 meV/atom
Crystal system ... tetragonal
Energy relative to the lowest polymorph listed for this composition ... 0 meV per atom

POSCAR file:
```
Rb2LiIrPd
1.0
6.506 0.000 0.000
0.000 6.506 0.000
0.000 0.000 4.826
Rb Li Ir Pd
2 1 1 1
direct
0.000 0.500 0.000
0.500 0.000 0.000
0.000 0.000 0.500
0.500 0.500 0.000
0.500 0.500 0.500
```

3.
Be2AgMo | PBE | optimized geometry

Properties
Calculated formation energy ... 297 meV/atom
Crystal system ... orthorhombic
Energy relative to the lowest polymorph listed for this composition ... 172 meV per atom

POSCAR file:
```
Be2AgMo
1.0
-1.315 2.128 4.512
1.315 -2.128 4.512
1.315 2.128 -4.512
Be Ag Mo
2 1 1
direct
0.000 0.000 0.000
0.792 0.292 0.500
0.243 0.743 0.500
0.528 0.528 0.000
```

4.
Er3Tm4Th4 | PBE | optimized geometry

Properties
Calculated formation energy ... 202 meV/atom
Crystal system ... orthorhombic

POSCAR file:
```
Er3Tm4Th4
1.0
10.623 0.000 0.000
0.000 2.808 5.931
0.000 -2.808 5.931
Er Tm Th
3 4 4
direct
0.000 0.000 0.000
0.285 0.160 0.160
0.715 0.160 0.160
0.000 0.309 0.309
0.296 0.851 0.851
0.500 0.355 0.355
0.704 0.851 0.851
0.000 0.698 0.698
0.209 0.514 0.514
0.500 0.633 0.633
0.791 0.514 0.514
```

Q: Among the records above, which one has the lowest calculated formation energy?
A: KNiAs2Ir